{
  "formula": "Rb2LiSb2",
  "functional": "PBE",
  "state": "optimized geometry",
  "cell": [[-3.973, 3.144, -5.342], [3.302, -5.687, -0.730], [-7.920, -3.896, 3.598]],
  "species": ["Rb", "Rb", "Rb", "Rb", "Li", "Li", "Sb", "Sb", "Sb", "Sb"],
  "fractional_positions": [[0.517, 0.305, 0.154], [0.212, 0.695, 0.346], [0.483, 0.695, 0.846], [0.788, 0.305, 0.654], [0.951, 0.000, 0.250], [0.049, 0.000, 0.750], [0.714, 0.727, 0.491], [0.987, 0.273, 0.009], [0.286, 0.273, 0.509], [0.013, 0.727, 0.991]],
  "rho_g_cm3": 3.7,
  "e_above_lowest_polymorph_ev_per_atom": 0.000,
  "dft_energy_ev_per_cell": -27.8,
  "spacegroup": "No. 15",
  "formation_energy_uncorrected_ev_per_atom": -0.363
}

---

{
  "formula": "RbLiSb2",
  "functional": "PBE",
  "state": "optimized geometry",
  "cell": [[-4.815, -0.782, -0.687], [-2.353, -3.670, 3.002], [-3.793, 5.860, 2.246]],
  "species": ["Rb", "Li", "Sb", "Sb"],
  "fractional_positions": [[0.000, 0.000, 0.000], [0.000, 0.500, 0.500], [0.626, 0.144, 0.604], [0.374, 0.856, 0.396]],
  "rho_g_cm3": 3.8,
  "e_above_lowest_polymorph_ev_per_atom": 0.000,
  "dft_energy_ev_per_cell": -12.4,
  "spacegroup": "No. 12",
  "formation_energy_uncorrected_ev_per_atom": -0.318
}

---

{
  "formula": "RbLiSb",
  "functional": "PBE",
  "state": "optimized geometry",
  "cell": [[-0.106, 1.867, -3.473], [-1.252, -4.588, -2.427], [-3.868, 3.192, 1.834]],
  "species": ["Sb", "Rb", "Li"],
  "fractional_positions": [[0.167, 0.000, 0.000], [0.667, 0.333, 0.667], [0.166, 0.667, 0.333]],
  "rho_g_cm3": 3.7,
  "e_above_lowest_polymorph_ev_per_atom": 0.126,
  "dft_energy_ev_per_cell": -7.9,
  "spacegroup": "No. 187",
  "formation_energy_uncorrected_ev_per_atom": -0.301
}

---

{
  "formula": "Rb2Li2Sb",
  "functional": "PBE",
  "state": "optimized geometry",
  "cell": [[-2.866, 7.101, 0.336], [-7.079, -2.884, 0.558], [0.517, -0.082, 6.138]],
  "species": ["Sb", "Sb", "Rb", "Rb", "Rb", "Rb", "Li", "Li", "Li", "Li"],
  "fractional_positions": [[0.000, 0.000, 0.000], [0.500, 0.500, 0.000], [0.200, 0.700, 0.500], [0.700, 0.800, 0.500], [0.800, 0.300, 0.500], [0.300, 0.200, 0.500], [0.329, 0.829, 0.000], [0.829, 0.671, 0.000], [0.671, 0.171, 0.000], [0.171, 0.329, 0.000]],
  "rho_g_cm3": 2.8,
  "e_above_lowest_polymorph_ev_per_atom": 0.197,
  "dft_energy_ev_per_cell": -22.0,
  "spacegroup": "No. 127",
  "formation_energy_uncorrected_ev_per_atom": -0.219
}

---

{
  "formula": "Rb2Li2Sb",
  "functional": "PBE",
  "state": "optimized geometry",
  "cell": [[-3.825, 2.715, 1.038], [-4.300, -2.048, 0.628], [-0.650, -0.885, 11.037]],
  "species": ["Rb", "Rb", "Li", "Li", "Sb"],
  "fractional_positions": [[0.429, 0.429, 0.712], [0.571, 0.571, 0.288], [0.677, 0.677, 0.968], [0.323, 0.323, 0.032], [0.000, 0.000, 0.000]],
  "rho_g_cm3": 2.4,
  "e_above_lowest_polymorph_ev_per_atom": 0.000,
  "dft_energy_ev_per_cell": -12.0,
  "spacegroup": "No. 166",
  "formation_energy_uncorrected_ev_per_atom": -0.416
}

---

{
  "formula": "RbLi3Sb3",
  "functional": "PBE",
  "state": "optimized geometry",
  "cell": [[-1.897, 3.546, -1.900], [3.679, -3.519, -10.242], [-10.214, -3.385, 3.883]],
  "species": ["Rb", "Rb", "Li", "Li", "Li", "Li", "Li", "Li", "Sb", "Sb", "Sb", "Sb", "Sb", "Sb"],
  "fractional_positions": [[0.750, 0.333, 0.667], [0.250, 0.667, 0.333], [0.750, 0.730, 0.132], [0.750, 0.402, 0.270], [0.750, 0.868, 0.598], [0.250, 0.270, 0.868], [0.250, 0.598, 0.730], [0.250, 0.132, 0.402], [0.750, 0.966, 0.399], [0.750, 0.434, 0.034], [0.750, 0.601, 0.566], [0.250, 0.034, 0.601], [0.250, 0.566, 0.966], [0.250, 0.399, 0.434]],
  "rho_g_cm3": 3.1,
  "e_above_lowest_polymorph_ev_per_atom": 0.000,
  "dft_energy_ev_per_cell": -41.9,
  "spacegroup": "No. 176",
  "formation_energy_uncorrected_ev_per_atom": -0.266
}